Re3HPd PBE-GGA optimized geometry; M_tot = 1.88 μB/cell; energy = -5.783 eV/atom; space group = Pm-3m; energy above the lowest structure with this stoichiometry = 3.181 eV/atom
1.0
4.734 0.000 0.000
0.000 4.734 0.000
0.000 0.000 4.734
Re H Pd
3 1 1
Direct
0.000 0.000 0.500 Re
0.000 0.500 0.000 Re
0.500 0.000 0.000 Re
0.500 0.500 0.500 H
0.000 0.000 0.000 Pd

SrPClF6 PBE-GGA optimized geometry; M_tot = 0.07 μB/cell; formation energy (no corrections) = -25.16 eV/f.u.; energy = -5.037 eV/atom; space group = P1
1.0
5.196 0.000 0.000
2.573 4.516 0.000
2.516 1.456 6.310
Sr P Cl F
1 1 1 6
Direct
0.000 0.000 0.000 Sr
0.817 0.816 0.535 P
0.323 0.323 0.028 Cl
0.162 0.723 0.388 F
0.470 0.910 0.682 F
0.722 0.161 0.389 F
0.725 0.725 0.375 F
0.909 0.907 0.695 F
0.913 0.469 0.681 F

Ba2CaAuO5 PBE-GGA optimized geometry; M_tot = 1.42 μB/cell; formation energy (no corrections) = -15.70 eV/f.u.; energy = -5.512 eV/atom; space group = Cmc2_1
1.0
1.826 -7.154 0.000
1.826 7.154 0.000
0.000 0.000 11.686
Ba Ca Au O
4 2 2 10
Direct
0.100 0.900 0.500 Ba
0.151 0.849 0.114 Ba
0.849 0.151 0.614 Ba
0.900 0.100 0.000 Ba
0.211 0.789 0.831 Ca
0.789 0.211 0.331 Ca
0.476 0.524 0.261 Au
0.524 0.476 0.761 Au
0.055 0.945 0.873 O
0.276 0.724 0.463 O
0.337 0.663 0.202 O
0.383 0.617 0.806 O
0.484 0.516 0.593 O
0.516 0.484 0.093 O
0.617 0.383 0.306 O
0.663 0.337 0.702 O
0.724 0.276 0.963 O
0.945 0.055 0.373 O

Na4ErTm3Se8 PBE-GGA optimized geometry; M_tot = 0.00 μB/cell; formation energy (no corrections) = -27.22 eV/f.u.; energy = -4.897 eV/atom; space group = R-3m
1.0
4.099 2.367 7.007
-4.099 2.367 7.007
0.000 -4.733 7.007
Na Er Tm Se
4 1 3 8
Direct
0.000 0.000 0.000 Na
0.000 0.500 0.500 Na
0.500 0.000 0.500 Na
0.500 0.500 0.000 Na
0.500 0.500 0.500 Er
0.000 0.000 0.500 Tm
0.000 0.500 0.000 Tm
0.500 0.000 0.000 Tm
0.241 0.743 0.743 Se
0.242 0.242 0.242 Se
0.257 0.257 0.759 Se
0.257 0.759 0.257 Se
0.743 0.241 0.743 Se
0.743 0.743 0.241 Se
0.758 0.758 0.758 Se
0.759 0.257 0.257 Se